Mg8Cu2Ag (PBE, optimized geometry); space-group type = P-1, No. 2; energy = -2.221 eV/atom; ΔH_f (0 K) = -57 meV per atom
1.0
-3.8882 1.6356 1.3514
-1.8763 -2.2997 4.4434
12.3870 4.4560 1.4798
Mg Cu Ag
8 2 1
Cartesian
-2.9553 0.3112 5.5314 Mg
8.0946 3.6409 4.5015 Mg
5.2180 2.5046 4.7798 Mg
1.4046 1.2873 2.4947 Mg
-1.4721 0.1510 2.7731 Mg
9.5778 3.4807 1.7432 Mg
-0.0740 1.5447 5.1655 Mg
6.6965 2.2472 2.1091 Mg
2.6164 1.8360 5.3263 Cu
4.0062 1.9559 1.9482 Cu
0.0000 0.0000 0.0000 Ag